The following is a DFT calculation (meta-GGA SCAN) of a crystal of CoP2Pb relaxed with PBEsol.

Geometry as extended XYZ:
```
4
Lattice="-0.721 2.886 1.504 -0.098 -2.100 3.983 4.396 0.817 0.539" Properties=species:S:1:pos:R:3 pbc="T T T"
P -0.049 -1.050 1.992
P 2.198 0.409 0.269
Pb 1.789 0.802 3.013
Co -0.360 1.443 0.752
```

Total energy: -110.2 eV per cell
ΔH_f (0 K): 352 kJ/mol of formula units
Calculated density: 8.1 g/cm3
Total moment: 0.510 μB/atom

=====

The following is a DFT calculation (meta-GGA SCAN) of a crystal of CoP2Pb relaxed with PBEsol.

Geometry as extended XYZ:
```
4
Lattice="-1.940 -1.424 1.675 0.345 -2.403 -1.644 5.780 -2.369 4.679" Properties=species:S:1:pos:R:3 pbc="T T T"
Pb 2.093 -3.098 2.355
P 4.879 -2.000 3.949
P 0.901 -0.369 0.729
Co -0.797 -1.913 0.016
```

Total energy: -113.1 eV per cell
ΔH_f (0 K): 77 kJ/mol of formula units
Calculated density: 8.1 g/cm3
Total moment: 0.000 μB/atom

=====

The following is a DFT calculation (meta-GGA SCAN) of a crystal of CoPPb2 relaxed with PBEsol.

Geometry as extended XYZ:
```
4
Lattice="-3.090 -0.819 1.142 0.234 -2.899 3.600 -0.765 3.418 5.428" Properties=species:S:1:pos:R:3 pbc="T T T"
Pb -0.775 0.186 3.082
Pb -0.669 0.481 8.627
P -3.021 -0.019 6.950
Co -1.499 -0.578 5.622
```

Total energy: -178.5 eV per cell
ΔH_f (0 K): 75 kJ/mol of formula units
Calculated density: 9.5 g/cm3
Total moment: 0.000 μB/atom

=====

The following is a DFT calculation (meta-GGA SCAN) of a crystal of CoP2Pb relaxed with PBEsol.

Geometry as extended XYZ:
```
4
Lattice="4.329 -0.001 -0.002 -1.352 4.254 -0.001 -1.352 -2.012 3.748" Properties=species:S:1:pos:R:3 pbc="T T T"
Co 0.812 1.120 1.873
Pb 2.164 -0.001 -0.001
P -0.676 -1.006 1.874
P -0.676 2.127 0.000
```

Total energy: -111.5 eV per cell
ΔH_f (0 K): 229 kJ/mol of formula units
Calculated density: 7.9 g/cm3
Total moment: 0.257 μB/atom

=====

The following is a DFT calculation (meta-GGA SCAN) of a crystal of CoPPb4 relaxed with PBEsol.

Geometry as extended XYZ:
```
6
Lattice="-5.562 2.271 1.281 -4.332 -3.645 2.383 -1.750 0.724 5.843" Properties=species:S:1:pos:R:3 pbc="T T T"
Pb -7.145 0.889 4.207
Pb -6.531 -2.063 4.757
Pb -5.243 0.118 6.484
Pb -4.369 -0.244 3.568
Co -8.733 -0.487 7.131
P 0.000 0.000 0.000
```

Total energy: -324.7 eV per cell
ΔH_f (0 K): 588 kJ/mol of formula units
Calculated density: 9.3 g/cm3
Total moment: 0.372 μB/atom

=====

The following is a DFT calculation (meta-GGA SCAN) of a crystal of Co2PPb relaxed with PBEsol.

Geometry as extended XYZ:
```
4
Lattice="-2.605 -2.310 -0.364 0.445 -3.317 1.026 -2.644 -0.525 5.420" Properties=species:S:1:pos:R:3 pbc="T T T"
P 0.000 0.000 0.000
Co -0.981 -1.692 0.925
Co -3.823 -4.459 5.156
Pb -2.402 -3.076 3.041
```

Total energy: -120.7 eV per cell
ΔH_f (0 K): 10 kJ/mol of formula units
Calculated density: 9.8 g/cm3
Total moment: 0.000 μB/atom

=====

The following is a DFT calculation (meta-GGA SCAN) of a crystal of PrCo5P3 relaxed with PBEsol.

Geometry as extended XYZ:
```
36
Lattice="-0.463 -2.415 -2.691 9.466 -3.713 1.702 -4.392 -7.689 7.657" Properties=species:S:1:pos:R:3 pbc="T T T"
Co 3.042 -7.938 2.896
Co 5.175 -7.296 4.422
Co 1.190 -2.769 1.046
Co 4.858 -4.406 1.883
Co -0.565 -6.520 2.245
Co 1.568 -5.879 3.771
Co -0.428 -6.840 4.978
Co 5.038 -6.976 1.689
Co 4.370 -4.297 -0.600
Co -3.570 -8.569 7.071
Co -1.734 -4.039 2.689
Co 3.420 -11.047 5.622
Co 0.241 -9.519 7.267
Co 6.344 -9.778 3.978
Co 8.180 -5.247 -0.404
Co -0.248 -9.410 4.784
Co -0.574 -4.577 0.502
Co 2.324 -2.948 -1.458
Co 2.286 -10.868 8.126
Co 5.185 -9.240 6.165
P 0.365 -4.286 2.549
P -1.997 -5.596 4.131
P 6.607 -8.221 2.536
P 0.188 -3.029 -1.018
P 3.346 -2.985 0.868
P 4.245 -9.531 4.118
P -1.320 -8.330 6.469
P 3.897 -5.875 3.367
P 1.264 -10.831 5.799
P 5.930 -5.486 0.198
P 0.713 -7.941 3.300
P 4.423 -10.787 7.685
Pr -3.055 -8.261 4.237
Pr 2.278 -5.648 0.972
Pr 2.333 -8.169 5.695
Pr 7.666 -5.555 2.431
```

Total energy: -668.8 eV per cell
ΔH_f (0 K): -595 kJ/mol of formula units
Calculated density: 8.0 g/cm3
Total moment: 0.213 μB/atom

=====

The following is a DFT calculation (meta-GGA SCAN) of a crystal of PrCo4P12 relaxed with PBEsol.

Geometry as extended XYZ:
```
17
Lattice="6.697 0.000 0.000 -2.232 6.314 0.000 -2.232 -3.157 5.468" Properties=species:S:1:pos:R:3 pbc="T T T"
P 2.258 -0.165 1.938
P -1.324 4.240 1.938
P 0.025 -1.396 4.641
P 4.439 1.596 1.112
P 3.556 -1.083 3.529
P 0.908 2.715 0.827
P -0.025 3.322 3.529
P -2.207 1.560 4.356
P 2.207 4.552 0.827
P 1.324 0.441 4.641
P 3.140 2.515 2.703
P -0.908 0.642 2.765
Co -1.116 -1.578 2.734
Co 3.348 0.000 0.000
Co -1.116 3.157 0.000
Co 1.116 1.578 2.734
Pr 0.000 0.000 0.000
```

Total energy: -246.5 eV per cell
ΔH_f (0 K): -883 kJ/mol of formula units
Calculated density: 5.4 g/cm3
Total moment: 0.000 μB/atom

=====

The following is a DFT calculation (meta-GGA SCAN) of a crystal of CoPPt relaxed with PBEsol.

Geometry as extended XYZ:
```
3
Lattice="-2.794 2.540 -0.543 -3.041 0.013 2.303 -0.497 2.849 2.487" Properties=species:S:1:pos:R:3 pbc="T T T"
P -1.583 1.351 1.062
Co -3.166 2.701 2.124
Pt 0.000 0.000 0.000
```

Total energy: -99.2 eV per cell
ΔH_f (0 K): -130 kJ/mol of formula units
Calculated density: 12.1 g/cm3
Total moment: 0.184 μB/atom

=====

The following is a DFT calculation (meta-GGA SCAN) of a crystal of TaCo2PPt relaxed with PBEsol.

Geometry as extended XYZ:
```
5
Lattice="-0.063 -2.318 -3.809 4.203 1.241 -0.825 1.616 -3.910 2.352" Properties=species:S:1:pos:R:3 pbc="T T T"
Co 2.102 0.621 -0.413
Co -0.032 -1.159 -1.905
Ta 0.808 -1.955 1.176
P 2.878 -2.493 -1.141
Pt 0.000 0.000 0.000
```

Total energy: -175.6 eV per cell
ΔH_f (0 K): 595 kJ/mol of formula units
Calculated density: 9.1 g/cm3
Total moment: 0.928 μB/atom

=====

The following is a DFT calculation (meta-GGA SCAN) of a crystal of CoRe2P relaxed with PBEsol.

Geometry as extended XYZ:
```
4
Lattice="-3.164 0.619 1.740 -0.435 -3.605 0.491 3.639 1.716 2.150" Properties=species:S:1:pos:R:3 pbc="T T T"
Re -0.662 0.421 2.503
Re 0.000 0.000 0.000
P 0.702 -1.691 1.879
Co -1.800 -1.493 1.116
```

Total energy: -168.7 eV per cell
ΔH_f (0 K): 116 kJ/mol of formula units
Calculated density: 15.2 g/cm3
Total moment: 0.001 μB/atom

=====

The following is a DFT calculation (meta-GGA SCAN) of a crystal of Co2ReP relaxed with PBEsol.

Geometry as extended XYZ:
```
4
Lattice="3.995 0.000 0.000 1.998 3.460 0.000 1.998 1.153 3.262" Properties=species:S:1:pos:R:3 pbc="T T T"
P 3.995 2.307 1.631
Re 1.998 1.153 0.816
Co 0.000 0.000 0.000
Co 5.993 3.460 2.447
```

Total energy: -115.9 eV per cell
ΔH_f (0 K): 23 kJ/mol of formula units
Calculated density: 12.3 g/cm3
Total moment: 0.502 μB/atom

=====

The following is a DFT calculation (meta-GGA SCAN) of a crystal of CoReP relaxed with PBEsol.

Geometry as extended XYZ:
```
12
Lattice="-3.025 0.806 2.069 -1.671 -5.307 -0.376 3.387 -1.457 5.519" Properties=species:S:1:pos:R:3 pbc="T T T"
Co -1.406 -3.635 4.464
Co 0.097 -2.323 2.748
Co -1.948 -4.456 0.589
Co 0.639 -1.502 6.624
P -0.607 -1.686 4.873
P -0.702 -4.272 2.340
P -0.750 -1.239 1.087
P -0.559 -4.720 6.125
Re -1.196 -0.021 3.363
Re 1.265 -3.518 4.921
Re -0.113 -5.938 3.849
Re -2.574 -2.441 2.292
```

Excess energy over the best structure of this formula in the dataset: 0 meV/atom
Total energy: -398.4 eV per cell
ΔH_f (0 K): -78 kJ/mol of formula units
Calculated density: 13.2 g/cm3
Total moment: 0.292 μB/atom

=====

The following is a DFT calculation (meta-GGA SCAN) of a crystal of Co2ReP relaxed with PBEsol.

Geometry as extended XYZ:
```
4
Lattice="3.529 0.000 0.000 0.000 3.529 0.000 0.000 0.000 3.621" Properties=species:S:1:pos:R:3 pbc="T T T"
Co 0.000 1.764 0.000
Co 1.764 0.000 0.000
P 1.764 1.764 1.811
Re 0.000 0.000 1.811
```

Total energy: -115.2 eV per cell
ΔH_f (0 K): 84 kJ/mol of formula units
Calculated density: 12.3 g/cm3
Total moment: 0.373 μB/atom

=====

The following is a DFT calculation (meta-GGA SCAN) of a crystal of CoReP2 relaxed with PBEsol.

Geometry as extended XYZ:
```
4
Lattice="-1.579 1.545 -3.500 -2.601 -2.275 -2.278 -4.009 1.011 -0.192" Properties=species:S:1:pos:R:3 pbc="T T T"
P -2.047 0.070 -1.493
P 0.000 0.000 0.000
Re -6.142 0.211 -4.478
Co -4.095 0.140 -2.985
```

Excess energy over the best structure of this formula in the dataset: 677 meV/atom
Total energy: -106.4 eV per cell
ΔH_f (0 K): 270 kJ/mol of formula units
Calculated density: 10.2 g/cm3
Total moment: 0.005 μB/atom

=====

The following is a DFT calculation (meta-GGA SCAN) of a crystal of Co2ReP relaxed with PBEsol.

Geometry as extended XYZ:
```
4
Lattice="2.641 0.000 0.000 1.320 2.287 0.000 1.320 0.762 7.612" Properties=species:S:1:pos:R:3 pbc="T T T"
Re 0.000 0.000 0.000
Co 1.320 0.762 2.126
Co 3.961 2.287 5.486
P 2.641 1.525 3.806
```

Total energy: -116.0 eV per cell
ΔH_f (0 K): 14 kJ/mol of formula units
Calculated density: 12.1 g/cm3
Total moment: 0.373 μB/atom

=====

The following is a DFT calculation (meta-GGA SCAN) of a crystal of CoReP2 relaxed with PBEsol.

Geometry as extended XYZ:
```
4
Lattice="2.883 0.000 0.000 -1.441 3.663 -0.024 0.000 -0.841 4.612" Properties=species:S:1:pos:R:3 pbc="T T T"
Co 1.441 0.000 0.000
P 0.000 1.662 1.100
P 1.441 1.160 3.489
Re 0.000 -0.421 2.306
```

Excess energy over the best structure of this formula in the dataset: 36 meV/atom
Total energy: -109.0 eV per cell
ΔH_f (0 K): 23 kJ/mol of formula units
Calculated density: 10.5 g/cm3
Total moment: 0.000 μB/atom

=====

The following is a DFT calculation (meta-GGA SCAN) of a crystal of Co2ReP relaxed with PBEsol.

Geometry as extended XYZ:
```
4
Lattice="-0.555 -2.720 0.003 1.458 -0.295 2.344 -4.899 1.003 3.173" Properties=species:S:1:pos:R:3 pbc="T T T"
P -2.253 0.461 1.459
Co -0.010 0.002 0.007
Co -0.967 -1.217 2.092
Re -3.216 -0.757 3.549
```

Total energy: -115.7 eV per cell
ΔH_f (0 K): 36 kJ/mol of formula units
Calculated density: 12.2 g/cm3
Total moment: 0.020 μB/atom

=====

The following is a DFT calculation (meta-GGA SCAN) of a crystal of CoReP relaxed with PBEsol.

Geometry as extended XYZ:
```
3
Lattice="2.725 0.000 0.000 0.000 3.912 0.000 0.000 -1.956 3.388" Properties=species:S:1:pos:R:3 pbc="T T T"
Re 1.123 1.956 1.129
P 1.906 0.000 2.259
Co 2.421 0.000 0.000
```

Excess energy over the best structure of this formula in the dataset: 371 meV/atom
Total energy: -98.5 eV per cell
ΔH_f (0 K): 29 kJ/mol of formula units
Calculated density: 12.7 g/cm3
Total moment: 0.338 μB/atom

=====

The following is a DFT calculation (meta-GGA SCAN) of a crystal of CoReP relaxed with PBEsol.

Geometry as extended XYZ:
```
3
Lattice="-0.797 -2.505 1.070 1.703 0.415 2.232 -3.735 3.003 0.490" Properties=species:S:1:pos:R:3 pbc="T T T"
P -0.585 -0.426 2.328
Co -0.141 0.084 0.092
Re -2.103 1.254 1.372
```

Excess energy over the best structure of this formula in the dataset: 350 meV/atom
Total energy: -98.6 eV per cell
ΔH_f (0 K): 23 kJ/mol of formula units
Calculated density: 13.0 g/cm3
Total moment: 0.000 μB/atom